Below is an optimized crystal structure of Th2FeSi4Pt3, with properties calculated at the PBE-GGA level.

Cell: 4.2217 4.2217 9.8716 Å, 90.00 90.00 90.00°
Site moments in Bohr magnetons follow the coordinates.
Atoms (fractional coordinates):
Th 0.5000 0.0000 0.2567  -0.02
Th 0.0000 0.5000 0.7433  -0.02
Fe 0.5000 0.5000 0.5000  1.02
Si 0.5000 0.5000 0.0000  0.00
Si 0.0000 0.0000 0.0000  0.00
Si 0.5000 0.0000 0.6255  -0.02
Si 0.0000 0.5000 0.3745  -0.02
Pt 0.0000 0.0000 0.5000  0.02
Pt 0.5000 0.0000 0.8765  -0.01
Pt 0.0000 0.5000 0.1235  -0.01

Output
Crystal system: tetragonal
Space group: No. 115
V in Å³ per atom: 17.59
Energy relative to the elements, uncorrected in kJ/mol of formula units: -986
Magnetization in μB per cell: 0.92
E in eV for the cell shown: -73.3


Below is an optimized crystal structure of MgIn2F6, with properties calculated at the PBE-GGA level.

Cell: 3.2613 5.6419 8.6187 Å, 92.62 90.00 106.80°
Atoms (fractional coordinates):
Mg 0.0000 0.0000 0.5000
In 0.7347 0.4694 0.8003
In 0.2653 0.5306 0.1997
F 0.9075 0.8150 0.6895
F 0.8463 0.6925 0.0558
F 0.1537 0.3075 0.9442
F 0.6030 0.2059 0.5886
F 0.3970 0.7941 0.4114
F 0.0925 0.1850 0.3105

Output
Crystal system: monoclinic
Space group: No. 12
V in Å³ per atom: 16.85
Energy relative to the elements, uncorrected in kJ/mol of formula units: -2135
Magnetization in μB per cell: 0.00
E in eV for the cell shown: -40.4


Below is an optimized crystal structure of SbPbCl2, with properties calculated at the PBE-GGA level.

Cell: 3.5141 6.1000 5.6102 Å, 90.00 90.00 90.00°
Atoms (fractional coordinates):
Pb 0.0000 0.0000 0.5972
Sb 0.5000 0.5000 0.6298
Cl 0.0000 0.0000 0.0695
Cl 0.5000 0.5000 0.2036

Output
Distance to the lowest polymorph of the same formula in eV per atom: 0.072
Crystal system: orthorhombic
Space group: No. 25
V in Å³ per atom: 30.07
Energy relative to the elements, uncorrected in kJ/mol of formula units: -179
Magnetization in μB per cell: 0.00
E in eV for the cell shown: -13.4


Please write out number 3 again, unchanged.
Below is an optimized crystal structure of SbPbCl2, with properties calculated at the PBE-GGA level.

Cell: 3.5141 6.1000 5.6102 Å, 90.00 90.00 90.00°
Atoms (fractional coordinates):
Pb 0.0000 0.0000 0.5972
Sb 0.5000 0.5000 0.6298
Cl 0.0000 0.0000 0.0695
Cl 0.5000 0.5000 0.2036

Output
Distance to the lowest polymorph of the same formula in eV per atom: 0.072
Crystal system: orthorhombic
Space group: No. 25
V in Å³ per atom: 30.07
Energy relative to the elements, uncorrected in kJ/mol of formula units: -179
Magnetization in μB per cell: 0.00
E in eV for the cell shown: -13.4


Look up the E of the first one.
-73.3 eV for the cell shown